Entry 1:
Dy12NiAu6 | PBE | optimized geometry

Lattice parameters (Å, degrees): 8.314 8.314 8.314 98.69 98.69 98.69
Fractional positions:
Dy1 0.036 0.686 0.935
Dy2 0.065 0.964 0.314
Dy3 0.182 0.428 0.580
Dy4 0.314 0.065 0.964
Dy5 0.420 0.818 0.572
Dy6 0.428 0.580 0.182
Dy7 0.572 0.420 0.818
Dy8 0.580 0.182 0.428
Dy9 0.686 0.935 0.036
Dy10 0.818 0.572 0.420
Dy11 0.935 0.036 0.686
Dy12 0.964 0.314 0.065
Ni1 0.000 0.000 0.000
Au1 0.132 0.625 0.305
Au2 0.305 0.132 0.625
Au3 0.375 0.695 0.868
Au4 0.625 0.305 0.132
Au5 0.695 0.868 0.375
Au6 0.868 0.375 0.695

magnetization: 0.000 μB/f.u.
density of states at the Fermi level: 20.28 states/eV per cell
final energy: -89.42 eV per cell
energy relative to the elements: -0.46 eV/atom


Entry 2:
Cs3SmBi2Te6 | PBE | optimized geometry

Lattice parameters (Å, degrees): 8.070 8.070 9.326 98.30 98.30 119.99
Fractional positions:
Cs1 0.000 0.000 0.000
Cs2 0.333 0.667 0.000
Cs3 0.667 0.333 0.000
Sm1 0.500 0.500 0.500
Bi1 0.167 0.833 0.500
Bi2 0.833 0.167 0.500
Te1 0.103 0.436 0.308
Te2 0.231 0.231 0.692
Te3 0.436 0.103 0.308
Te4 0.564 0.897 0.692
Te5 0.769 0.769 0.308
Te6 0.897 0.564 0.692

magnetization: 0.000 μB/f.u.
density of states at the Fermi level: 0.00 states/eV per cell
final energy: -44.46 eV per cell
energy relative to the elements, uncorrected: -1019.3 kJ/mol of formula units


Entry 3:
Nb3AgTe4 | PBE | optimized geometry

Lattice parameters (Å, degrees): 9.833 9.833 4.660 90.00 90.00 120.00
Fractional positions:
Nb1 0.145 0.640 0.250
Nb2 0.360 0.504 0.250
Nb3 0.496 0.855 0.250
Nb4 0.504 0.145 0.750
Nb5 0.640 0.496 0.750
Nb6 0.855 0.360 0.750
Ag1 0.000 0.000 0.000
Ag2 0.000 0.000 0.500
Te1 0.015 0.313 0.250
Te2 0.298 0.985 0.250
Te3 0.313 0.298 0.750
Te4 0.333 0.667 0.750
Te5 0.667 0.333 0.250
Te6 0.687 0.702 0.250
Te7 0.702 0.015 0.750
Te8 0.985 0.687 0.750

magnetization: 0.000 μB/f.u.
density of states at the Fermi level: 13.28 states/eV per cell
final energy: -92.56 eV per cell
energy relative to the elements, uncorrected: -62.9 kJ/mol of formula units